Record 1
Here is an optimized crystal structure of Pm5TlPb3 from Alexandria. Energies are from PBE.

Unit cell a=9.692 b=9.692 c=6.754 alpha=90.00 beta=90.00 gamma=120.00
Sites, in units of the cell vectors:
Pm 0.000 0.278 0.250
Pm 0.000 0.722 0.750
Pm 0.278 0.000 0.250
Pm 0.278 0.278 0.750
Pm 0.333 0.667 0.000
Pm 0.333 0.667 0.500
Pm 0.667 0.333 0.000
Pm 0.667 0.333 0.500
Pm 0.722 0.000 0.750
Pm 0.722 0.722 0.250
Tl 0.000 0.000 0.000
Tl 0.000 0.000 0.500
Pb 0.000 0.377 0.750
Pb 0.000 0.623 0.250
Pb 0.377 0.000 0.750
Pb 0.377 0.377 0.250
Pb 0.623 0.000 0.250
Pb 0.623 0.623 0.750

Output
**Energy of formation from the pure elements**: -0.5176 eV per atom
**Fermi-level density of states**: 1.252 states/eV per atom
**Total magnetic moment**: 0.00 μB per atom

=====

Record 2
Here is an optimized crystal structure of ZnCr2Hg from Alexandria. Energies are from PBE.

Unit cell a=3.064 b=3.064 c=6.673 alpha=90.00 beta=90.00 gamma=90.00
Sites, in units of the cell vectors:
Zn 0.000 0.000 0.000
Cr 0.000 0.000 0.410
Cr 0.500 0.500 0.241
Hg 0.500 0.500 0.709

Output
**Energy of formation from the pure elements**: 0.2496 eV per atom
**Energy above the lowest structure with this stoichiometry**: 0 meV per atom
**Fermi-level density of states**: 0.567 states/eV per atom
**Total magnetic moment**: 0.06 μB per atom

=====

Record 3
Here is an optimized crystal structure of ZnCo2Ir from Alexandria. Energies are from PBE.

Unit cell a=4.259 b=4.259 c=2.789 alpha=90.00 beta=90.00 gamma=90.00
Sites, in units of the cell vectors:
Zn 0.000 0.000 0.000
Co 0.000 0.500 0.500
Co 0.500 0.000 0.500
Ir 0.500 0.500 0.000

Output
**Energy of formation from the pure elements**: 0.0588 eV per atom
**Fermi-level density of states**: 0.957 states/eV per atom
**Total magnetic moment**: 0.86 μB per atom

=====

Record 4
Here is an optimized crystal structure of SmLuGeIr from Alexandria. Energies are from PBE.

Unit cell a=4.964 b=4.964 c=4.964 alpha=60.00 beta=60.00 gamma=60.00
Sites, in units of the cell vectors:
Sm 0.000 0.000 0.000
Lu 0.500 0.500 0.500
Ge 0.750 0.750 0.750
Ir 0.250 0.250 0.250

Output
**Energy of formation from the pure elements**: -0.6583 eV per atom
**Fermi-level density of states**: 0.736 states/eV per atom
**Total magnetic moment**: 0.00 μB per atom

=====

Record 5
Here is an optimized crystal structure of BaCS2N from Alexandria. Energies are from PBE.

Unit cell a=4.175 b=4.175 c=4.938 alpha=90.00 beta=90.00 gamma=90.00
Sites, in units of the cell vectors:
Ba 0.000 0.000 0.000
C 0.500 0.500 0.500
S 0.000 0.500 0.500
S 0.500 0.000 0.500
N 0.500 0.500 0.000

Output
**Energy above the lowest structure with this stoichiometry**: 0 meV per atom
**Fermi-level density of states**: 0.572 states/eV per atom
**E_form (uncorrected)**: 0.92 eV per atom
**Total magnetic moment**: 0.36 μB per atom

=====

Record 6
Here is an optimized crystal structure of YPbSCl2 from Alexandria. Energies are from PBE.

Unit cell a=5.412 b=5.412 c=5.902 alpha=90.00 beta=90.00 gamma=90.00
Sites, in units of the cell vectors:
Y 0.000 0.000 0.000
Pb 0.500 0.500 0.500
S 0.500 0.500 0.000
Cl 0.000 0.500 0.500
Cl 0.500 0.000 0.500

Output
**Energy above the lowest structure with this stoichiometry**: 823 meV per atom
**Fermi-level density of states**: 0.746 states/eV per atom
**E_form (uncorrected)**: -0.41 eV per atom
**Total magnetic moment**: 0.19 μB per atom